# PBE-GGA LaHSe2I, relaxed
data_LaHSe2I
_cell_length_a 5.8931
_cell_length_b 5.8931
_cell_length_c 6.3744
_cell_angle_alpha 90.00
_cell_angle_beta 90.00
_cell_angle_gamma 90.00
_space_group_name_H-M_alt 'P 4/m m m'
_space_group_IT_number 123
_space_group_name_Hall '-P 4 2'
loop_
_atom_site_label
_atom_site_fract_x
_atom_site_fract_y
_atom_site_fract_z
La1 0.0000 0.0000 0.0000
H1 0.5000 0.5000 0.5000
Se1 0.0000 0.5000 0.0000
I1 0.0000 0.0000 0.5000
# Uncorrected energy, eV/atom: -3.4801
# Volume, Å³ per cell: 221


# PBE-GGA Ta2ReRu2, relaxed
data_Ta2ReRu2
_cell_length_a 7.3531
_cell_length_b 7.3531
_cell_length_c 3.0033
_cell_angle_alpha 90.00
_cell_angle_beta 90.00
_cell_angle_gamma 90.00
_space_group_name_H-M_alt 'P 4/m b m'
_space_group_IT_number 127
_space_group_name_Hall '-P 4 2ab'
loop_
_atom_site_label
_atom_site_fract_x
_atom_site_fract_y
_atom_site_fract_z
Ta1 0.1704 0.3296 0.0000
Re1 0.0000 0.0000 0.5000
Ru1 0.1320 0.6320 0.5000
# Formation energy from the elements, meV/atom: 61
# Volume, Å³ per cell: 162